Computed, not measured: FeNi3 after structural relaxation at the PBEsol level of DFT.

Calculated formation energy = -0.070 eV per atom
Total moment = 4.6 μB/f.u.
Total DFT energy (no corrections) = -27.7 eV per formula unit
Theoretical density = 9.11 g/cm3
Space-group type = P6_3/mmc

a = 4.9425 Å, b = 4.9425 Å, c = 3.9958 Å
α = 90.00°, β = 90.00°, γ = 120.00°
Last column: nearest neighbours and their distance in Å.
Sites, in units of the cell vectors:
1 Fe 0.3333 0.6667 0.2500  12 Ni 2.46-2.47
2 Fe 0.6667 0.3333 0.7500  12 Ni 2.46-2.47
3 Ni 0.1657 0.3314 0.7500  8 Ni 2.45-2.49, 4 Fe 2.46-2.47
4 Ni 0.1657 0.8343 0.7500  8 Ni 2.45-2.49, 4 Fe 2.46-2.47
5 Ni 0.3314 0.1657 0.2500  8 Ni 2.45-2.49, 4 Fe 2.46-2.47
6 Ni 0.6686 0.8343 0.7500  8 Ni 2.45-2.49, 4 Fe 2.46-2.47
7 Ni 0.8343 0.1657 0.2500  8 Ni 2.45-2.49, 4 Fe 2.46-2.47
8 Ni 0.8343 0.6686 0.2500  8 Ni 2.45-2.49, 4 Fe 2.46-2.47

Computed, not measured: FeNi3 after structural relaxation at the PBEsol level of DFT.

Calculated formation energy = -0.062 eV per atom
Total moment = 4.5 μB/f.u.
Total DFT energy (no corrections) = -27.7 eV per formula unit
Theoretical density = 9.13 g/cm3
Space-group type = Pmmn

a = 3.9888 Å, b = 4.9438 Å, c = 4.2798 Å
α = 90.00°, β = 90.00°, γ = 90.00°
Last column: nearest neighbours and their distance in Å.
Sites, in units of the cell vectors:
1 Fe 0.2500 0.2500 0.1665  12 Ni 2.46-2.47
2 Fe 0.7500 0.7500 0.8335  12 Ni 2.46-2.47
3 Ni 0.2500 0.0015 0.6675  8 Ni 2.44-2.49, 4 Fe 2.46-2.47
4 Ni 0.2500 0.4985 0.6675  8 Ni 2.44-2.49, 4 Fe 2.46-2.47
5 Ni 0.2500 0.7500 0.1698  8 Ni 2.44-2.48, 4 Fe 2.46-2.47
6 Ni 0.7500 0.2500 0.8302  8 Ni 2.44-2.48, 4 Fe 2.46-2.47
7 Ni 0.7500 0.5015 0.3325  8 Ni 2.44-2.49, 4 Fe 2.46-2.47
8 Ni 0.7500 0.9985 0.3325  8 Ni 2.44-2.49, 4 Fe 2.46-2.47

Computed, not measured: FeNi4 after structural relaxation at the PBEsol level of DFT.

Calculated formation energy = -0.039 eV per atom
Total moment = 5.1 μB/f.u.
Total DFT energy (no corrections) = -33.8 eV per formula unit
Theoretical density = 9.19 g/cm3
Space-group type = I4/m

a = 4.2588 Å, b = 4.2588 Å, c = 4.2588 Å
α = 99.57°, β = 99.57°, γ = 131.88°
Last column: nearest neighbours and their distance in Å.
Sites, in units of the cell vectors:
1 Fe 0.0000 0.0000 0.0000  12 Ni 2.46
2 Ni 0.1996 0.6005 0.8002  9 Ni 2.45-2.46, 3 Fe 2.46
3 Ni 0.3995 0.1996 0.5991  9 Ni 2.45-2.46, 3 Fe 2.46
4 Ni 0.6005 0.8004 0.4009  9 Ni 2.45-2.46, 3 Fe 2.46
5 Ni 0.8004 0.3995 0.1998  9 Ni 2.45-2.46, 3 Fe 2.46

Computed, not measured: Fe2Ni3 after structural relaxation at the PBEsol level of DFT.

Calculated formation energy = 0.004 eV per atom
Total moment = 6.8 μB/f.u.
Total DFT energy (no corrections) = -36.4 eV per formula unit
Theoretical density = 9.00 g/cm3
ΔE to the lowest computed polymorph = 0.000 eV per atom
Space-group type = R-3m

a = 10.2184 Å, b = 10.2184 Å, c = 10.2184 Å
α = 13.83°, β = 13.83°, γ = 13.83°
Last column: nearest neighbours and their distance in Å.
Sites, in units of the cell vectors:
1 Fe 0.0996 0.0996 0.0996  6 Ni 2.46-2.48, 6 Fe 2.46
2 Fe 0.9004 0.9004 0.9004  6 Ni 2.46-2.48, 6 Fe 2.46
3 Ni 0.2998 0.2998 0.2998  3 Fe 2.46, 9 Ni 2.46-2.48
4 Ni 0.5000 0.5000 0.5000  6 Ni 2.46, 6 Fe 2.48
5 Ni 0.7002 0.7002 0.7002  3 Fe 2.46, 9 Ni 2.46-2.48

Computed, not measured: Fe3Ni after structural relaxation at the PBEsol level of DFT.

Calculated formation energy = 0.053 eV per atom
Total moment = 8.3 μB/f.u.
Total DFT energy (no corrections) = -32.8 eV per formula unit
Theoretical density = 8.55 g/cm3
Space-group type = R-3m

a = 4.6477 Å, b = 4.6477 Å, c = 4.6477 Å
α = 117.05°, β = 117.05°, γ = 117.05°
Last column: nearest neighbours and their distance in Å.
Sites, in units of the cell vectors:
1 Fe 0.0000 0.5000 0.5000  6 Fe 2.42-2.43, 2 Ni 2.43
2 Fe 0.5000 0.0000 0.5000  6 Fe 2.42-2.43, 2 Ni 2.43
3 Fe 0.5000 0.5000 0.0000  6 Fe 2.42-2.43, 2 Ni 2.43
4 Ni 0.0000 0.0000 0.0000  2 Ni 2.42, 6 Fe 2.43

Computed, not measured: FeNi5 after structural relaxation at the PBEsol level of DFT.

Calculated formation energy = -0.022 eV per atom
Total moment = 5.7 μB/f.u.
Total DFT energy (no corrections) = -39.9 eV per formula unit
Theoretical density = 9.23 g/cm3
Space-group type = Amm2

a = 4.0087 Å, b = 6.5057 Å, c = 6.5057 Å
α = 21.74°, β = 90.00°, γ = 90.00°
Last column: nearest neighbours and their distance in Å.
Sites, in units of the cell vectors:
1 Fe 0.0000 0.0000 0.0000  10 Ni 2.45-2.47, 2 Fe 2.45
2 Ni 0.0000 0.3344 0.3344  2 Fe 2.45, 10 Ni 2.45-2.46
3 Ni 0.0000 0.6675 0.6675  10 Ni 2.45-2.46, 2 Fe 2.47
4 Ni 0.5000 0.2230 0.2230  12 Ni 2.45-2.46
5 Ni 0.5000 0.5573 0.5573  8 Ni 2.45-2.47, 4 Fe 2.46
6 Ni 0.5000 0.8892 0.8892  10 Ni 2.45-2.47, 2 Fe 2.45

Computed, not measured: Fe3Ni after structural relaxation at the PBEsol level of DFT.

Calculated formation energy = 0.078 eV per atom
Total moment = 6.2 μB/f.u.
Total DFT energy (no corrections) = -32.7 eV per formula unit
Theoretical density = 8.91 g/cm3
Space-group type = I4/mmm

a = 7.4476 Å, b = 7.4476 Å, c = 7.4476 Å
α = 153.12°, β = 153.12°, γ = 38.38°
Last column: nearest neighbours and their distance in Å.
Sites, in units of the cell vectors:
1 Fe 0.0000 0.5000 0.5000  8 Fe 2.43-2.45, 4 Ni 2.47
2 Fe 0.1210 0.1210 0.0000  8 Fe 2.43-2.51, 4 Ni 2.45
3 Fe 0.2500 0.7500 0.5000  8 Fe 2.45-2.51, 4 Ni 2.47
4 Fe 0.5000 0.0000 0.5000  8 Fe 2.43-2.45, 4 Ni 2.47
5 Fe 0.7500 0.2500 0.5000  8 Fe 2.45-2.51, 4 Ni 2.47
6 Fe 0.8790 0.8790 0.0000  8 Fe 2.43-2.51, 4 Ni 2.45
7 Ni 0.3752 0.3752 0.0000  12 Fe 2.45-2.47
8 Ni 0.6248 0.6248 0.0000  12 Fe 2.45-2.47

Computed, not measured: FeNi3 after structural relaxation at the PBEsol level of DFT.

Calculated formation energy = -0.023 eV per atom
Total moment = 4.4 μB/f.u.
Total DFT energy (no corrections) = -27.5 eV per formula unit
Theoretical density = 9.12 g/cm3
Space-group type = C2/m

a = 4.2608 Å, b = 4.2608 Å, c = 4.2778 Å
α = 99.44°, β = 99.44°, γ = 33.49°
Last column: nearest neighbours and their distance in Å.
Sites, in units of the cell vectors:
1 Fe 0.0000 0.0000 0.0000  2 Fe 2.45, 10 Ni 2.46-2.47
2 Ni 0.2497 0.2497 0.7486  9 Ni 2.45-2.48, 3 Fe 2.46-2.47
3 Ni 0.5000 0.5000 0.5000  8 Ni 2.45-2.46, 4 Fe 2.47
4 Ni 0.7503 0.7503 0.2514  9 Ni 2.45-2.48, 3 Fe 2.46-2.47